# SmSbIr, optimized geometry, DFT GGA-PBE
# Raw total energy, eV per cell: -39.912
data_SmSbIr
_chemical_formula_sum 'Sm2 Sb2 Ir2'
_cell_length_a 4.546
_cell_length_b 4.546
_cell_length_c 7.755
_cell_angle_alpha 90.00
_cell_angle_beta 90.00
_cell_angle_gamma 120.00
_symmetry_space_group_name_H-M 'P 1'
_symmetry_Int_Tables_number 1
loop_
_symmetry_equiv_pos_as_xyz
'x,y,z'
loop_
_atom_site_label
_atom_site_type_symbol
_atom_site_fract_x
_atom_site_fract_y
_atom_site_fract_z
_atom_site_occupancy
Sb1 Sb 0.667 0.333 0.750 1
Sb2 Sb 0.333 0.667 0.250 1
Ir1 Ir 0.667 0.333 0.250 1
Ir2 Ir 0.333 0.667 0.750 1
Sm1 Sm 0.000 0.000 0.500 1
Sm2 Sm 0.000 0.000 0.000 1


# CuSeS, optimized geometry, DFT GGA-PBE
# ΔE to the lowest computed polymorph, meV per atom: 222.1
# Raw total energy, eV per cell: -21.814
data_CuSeS
_chemical_formula_sum 'Cu2 Se2 S2'
_cell_length_a 3.707
_cell_length_b 5.510
_cell_length_c 6.016
_cell_angle_alpha 90.00
_cell_angle_beta 90.00
_cell_angle_gamma 90.00
_symmetry_space_group_name_H-M 'P 1'
_symmetry_Int_Tables_number 1
loop_
_symmetry_equiv_pos_as_xyz
'x,y,z'
loop_
_atom_site_label
_atom_site_type_symbol
_atom_site_fract_x
_atom_site_fract_y
_atom_site_fract_z
_atom_site_occupancy
Cu1 Cu 0.500 0.308 0.032 1
Cu2 Cu 0.000 0.692 0.532 1
Se1 Se 0.500 0.937 0.631 1
Se2 Se 0.000 0.063 0.131 1
S1 S 0.000 0.388 0.837 1
S2 S 0.500 0.612 0.337 1


# NdNbPb2O6, optimized geometry, DFT GGA-PBE
# Raw total energy, eV per cell: -73.454
data_NdNbPb2O6
_chemical_formula_sum 'Nd1 Nb1 Pb2 O6'
_cell_length_a 6.014
_cell_length_b 6.014
_cell_length_c 6.014
_cell_angle_alpha 120.98
_cell_angle_beta 120.98
_cell_angle_gamma 88.32
_symmetry_space_group_name_H-M 'P 1'
_symmetry_Int_Tables_number 1
loop_
_symmetry_equiv_pos_as_xyz
'x,y,z'
loop_
_atom_site_label
_atom_site_type_symbol
_atom_site_fract_x
_atom_site_fract_y
_atom_site_fract_z
_atom_site_occupancy
Nd1 Nd 0.000 0.000 0.000 1
O1 O 0.342 0.802 0.144 1
O2 O 0.733 0.733 0.000 1
O3 O 0.802 0.658 0.460 1
O4 O 0.658 0.198 0.856 1
O5 O 0.198 0.342 0.540 1
O6 O 0.267 0.267 0.000 1
Pb1 Pb 0.250 0.750 0.500 1
Pb2 Pb 0.750 0.250 0.500 1
Nb1 Nb 0.500 0.500 0.000 1